(1)
Computed, not measured: an optimized crystal structure of K2SmZn2S4 at the PBE level of DFT.

Cell: 8.1444 8.1444 7.8905 Å, 112.71 112.71 27.95°
Positions (direct):
K  0.1278  0.1278  0.0581
K  0.8722  0.8722  0.9419
Sm  0.0000  0.0000  0.5000
Zn  0.3149  0.3149  0.4804
Zn  0.6851  0.6851  0.5196
S  0.1926  0.1926  0.7087
S  0.4649  0.4649  0.7195
S  0.5351  0.5351  0.2805
S  0.8074  0.8074  0.2913

=====

(2)
Computed, not measured: an optimized crystal structure of AsCBr2 at the PBE level of DFT.

Cell: 4.7979 4.7979 4.7979 Å, 60.00 60.00 60.00°
Positions (direct):
As  0.0000  0.0000  0.0000
C  0.5000  0.5000  0.5000
Br  0.2500  0.2500  0.2500
Br  0.7500  0.7500  0.7500

Summary:
excess energy over the best structure of this formula in the dataset: 136 kJ/mol of formula units

=====

(3)
Computed, not measured: an optimized crystal structure of BeIn2S2 at the PBE level of DFT.

Cell: 5.4604 5.4604 5.4604 Å, 113.31 113.31 102.04°
Positions (direct):
Be  0.0000  0.0000  0.0000
In  0.2500  0.7500  0.5000
In  0.7500  0.2500  0.5000
S  0.2724  0.2724  0.0000
S  0.7276  0.7276  0.0000

Summary:
excess energy over the best structure of this formula in the dataset: 0 kJ/mol of formula units

=====

Record-wise magnetic moment values, in μB per formula unit: 0.0; 1.5; 0.0
Record-wise E_form (uncorrected) values, in eV/atom: -1.148; 1.882; -0.250
Record-wise volume values, in Å³ per cell: 225; 78; 124